Computed, not measured: crystalline Sr2ReTc at its relaxed geometry at the PBE-GGA level of DFT.

Unit cell a=2.8697 b=5.2415 c=5.7462 alpha=90.00 beta=91.85 gamma=90.00
Space group P2/m (No. 10)
Symmetry-distinct sites (fractional):
1 Sr 0.0023 0.0000 0.2502 x2
2 Re 0.5000 0.5000 0.0000 x1
3 Tc 0.5000 0.5000 0.5000 x1

## Properties
The crystal system is monoclinic. For the energy above the most stable polymorph in this dataset, the calculation gives 3.69 eV/f.u. Its formation energy is 119 kJ per mole of atoms.